The following is a PBE calculation of an optimized crystal structure of CoCuTcS2, from Alexandria via LeMat-Bulk.

Computed properties:
As for the crystal system: tetragonal. The calculation puts the density at 5.52 g/cm3. The electronic total energy is -24.08 eV per formula unit. The raw formation energy comes out at 5.75 eV per formula unit. As for the space-group type: No. 123.

Unit cell a=4.4247 b=4.3720 c=4.4247 alpha=90.00 beta=90.00 gamma=90.00
Last column: nearest neighbours and their distance in Å.
Element x y z (fractional)
S  0.0000  0.0000  0.5000  2 Cu 2.21
S  0.5000  0.0000  0.0000  2 Cu 2.21
Co  0.0000  0.5000  0.0000  2 Cu 2.19
Tc  0.5000  0.5000  0.5000  8 S 3.11, 4 Co 3.13
Cu  0.0000  0.0000  0.0000  2 Co 2.19, 4 S 2.21